(1)
{
  "formula": "Na2In4PdAu",
  "functional": "GGA-PBE",
  "state": "optimized geometry",
  "dft_energy_ev_per_atom": -3.080,
  "lattice_angstrom": [[8.107, 0.000, 0.000], [0.000, 2.216, 5.204], [0.000, -2.216, 5.204]],
  "species": ["Na", "Na", "In", "In", "In", "In", "Pd", "Au"],
  "frac_coords": [[0.000, 0.000, 0.000], [0.500, 0.138, 0.138], [0.191, 0.710, 0.710], [0.295, 0.426, 0.426], [0.705, 0.426, 0.426], [0.809, 0.710, 0.710], [0.000, 0.285, 0.285], [0.500, 0.852, 0.852]]
}

(2)
{
  "formula": "Na2Sc2In2PdAu",
  "functional": "GGA-PBE",
  "state": "optimized geometry",
  "dft_energy_ev_per_atom": -4.027,
  "lattice_angstrom": [[4.803, 0.000, 0.000], [0.000, 4.803, 0.000], [0.000, 0.000, 6.814]],
  "species": ["Na", "Na", "Sc", "Sc", "In", "In", "Pd", "Au"],
  "frac_coords": [[0.000, 0.000, 0.000], [0.500, 0.500, 0.500], [0.000, 0.500, 0.745], [0.500, 0.000, 0.255], [0.000, 0.500, 0.256], [0.500, 0.000, 0.744], [0.000, 0.000, 0.500], [0.500, 0.500, 0.000]]
}